The following is a PBE with a Hubbard U calculation of crystalline Mg2InMoO6 at its relaxed geometry, from Alexandria.

POSCAR file:
```
Mg2InMoO6
1.0
-3.173 -4.227 -0.177
1.838 -4.736 -1.698
0.812 -4.086 3.839
O Mg Mo In
6 2 1 1
Cartesian
-1.370 -6.733 2.601 O
0.637 -8.172 1.638 O
-1.746 -7.728 -0.206 O
1.186 -6.358 -0.701 O
-1.303 -4.585 0.479 O
0.956 -5.544 2.191 O
-0.321 -6.436 0.682 Mg
0.733 -4.063 3.551 Mg
-0.358 -3.033 -0.406 Mo
-0.571 -9.621 0.686 In
```

**Uncorrected energy**: -6.32 eV/atom
**Density**: 5.09 g/cm³
**Magnetic moment**: 1.000 μB per cell
**Symmetry**: P1 (1)